Crystalline NdMg2In2 at its relaxed geometry, computed with PBE-GGA.

The structure in extended XYZ format:
```
5
Lattice="-2.271 2.271 6.335 2.271 -2.271 6.335 2.271 2.271 -6.335" Properties=species:S:1:pos:R:3 pbc="T T T"
Nd 0.000 0.000 0.000
Mg 2.271 0.000 3.167
Mg 0.000 2.271 3.167
In 0.000 0.000 4.957
In 0.000 0.000 7.713
```

Energy: -2.980 eV per atom
Energy above the most stable polymorph in this dataset: 0.0 kJ/mol of atoms
Energy of formation from the pure elements: -0.29 eV per atom